Entry 1:
{
  "formula": "LaCuRh2Cl",
  "functional": "PBE-GGA",
  "state": "optimized geometry",
  "lattice": [[-0.8019, -3.4943, -3.3929], [2.5439, -3.2328, 2.7282], [-4.6127, -1.4498, 2.5833]],
  "species": ["Rh", "Rh", "Cu", "La", "Cl"],
  "fractional_positions": [[0.0000, 0.5000, 0.0000], [0.5000, 0.0000, 0.0000], [0.5000, 0.5000, 0.5000], [0.0000, 0.0000, 0.0000], [0.0000, 0.0000, 0.5000]],
  "sg": "No. 123",
  "e_form_raw_ev_per_atom": 0.607,
  "magnetic_moment_mub_per_cell": 0.00,
  "density_g_cm3": 5.5
}



Entry 2:
{
  "formula": "CsZrMoN4",
  "functional": "PBE-GGA",
  "state": "optimized geometry",
  "lattice": [[-2.9305, 5.0335, 0.8958], [0.7237, -0.6372, 5.9482], [8.1328, 1.7728, -0.7996]],
  "species": ["N", "N", "N", "N", "N", "N", "N", "N", "Cs", "Cs", "Mo", "Mo", "Zr", "Zr"],
  "fractional_positions": [[0.5094, 0.7500, 0.5777], [0.9441, 0.4816, 0.6396], [0.9441, 0.0184, 0.6396], [0.0559, 0.5184, 0.3604], [0.4839, 0.7500, 0.2390], [0.0559, 0.9816, 0.3604], [0.5161, 0.2500, 0.7610], [0.4906, 0.2500, 0.4223], [0.7190, 0.7500, 0.9416], [0.2810, 0.2500, 0.0584], [0.7208, 0.2500, 0.6274], [0.2792, 0.7500, 0.3726], [0.8136, 0.7500, 0.4557], [0.1864, 0.2500, 0.5443]],
  "sg": "No. 11",
  "e_form_raw_ev_per_atom": -0.429,
  "magnetic_moment_mub_per_cell": 2.07,
  "density_g_cm3": 4.4
}



Entry 3:
{
  "formula": "Pr3Dy2Y3",
  "functional": "PBE-GGA",
  "state": "optimized geometry",
  "lattice": [[5.7690, 0.0000, 0.0000], [0.0000, 6.0440, -0.5222], [-2.8845, -2.5775, 8.0049]],
  "species": ["Y", "Y", "Y", "Dy", "Dy", "Pr", "Pr", "Pr"],
  "fractional_positions": [[0.6330, 0.1831, 0.2661], [0.3670, 0.8169, 0.7339], [0.5000, 0.5000, 0.0000], [0.2496, 0.1810, 0.4993], [0.7504, 0.8190, 0.5007], [0.8641, 0.4253, 0.7282], [0.0000, 0.0000, 0.0000], [0.1359, 0.5747, 0.2718]],
  "ef_ev_per_atom": 0.0792,
  "sg": "No. 12",
  "magnetic_moment_mub_per_cell": 0.00,
  "density_g_cm3": 6.2
}



Entry 4:
{
  "formula": "HfBi3C",
  "functional": "PBE-GGA",
  "state": "optimized geometry",
  "lattice": [[5.6030, 0.0000, 0.0000], [0.0000, 5.6030, 0.0000], [0.0000, 0.0000, 5.6030]],
  "species": ["Bi", "Bi", "Bi", "Hf", "C"],
  "fractional_positions": [[0.5000, 0.0000, 0.0000], [0.0000, 0.5000, 0.0000], [0.0000, 0.0000, 0.5000], [0.0000, 0.0000, 0.0000], [0.5000, 0.5000, 0.5000]],
  "ef_ev_per_atom": 1.6312,
  "sg": "No. 221",
  "magnetic_moment_mub_per_cell": 2.32,
  "density_g_cm3": 7.7
}



Entry 5:
{
  "formula": "Rb2TiTc",
  "functional": "PBE-GGA",
  "state": "optimized geometry",
  "lattice": [[-7.2042, 5.3475, -10.0663], [8.8510, -4.8791, -8.9264], [-0.3428, -1.6131, -9.6430]],
  "species": ["Rb", "Rb", "Rb", "Rb", "Ti", "Ti", "Tc", "Tc"],
  "fractional_positions": [[0.8081, 0.1250, 0.2500], [0.3750, 0.1919, 0.7500], [0.9419, 0.6250, 0.2500], [0.8750, 0.0581, 0.7500], [0.2500, 0.7500, 0.5000], [0.5000, 0.5000, 0.0000], [0.7500, 0.2500, 0.5000], [0.0000, 0.0000, 0.0000]],
  "ef_ev_per_atom": 1.1494,
  "sg": "No. 122",
  "magnetic_moment_mub_per_cell": 0.93,
  "density_g_cm3": 2.6
}



Entry 6:
{
  "formula": "MgZnCdPb",
  "functional": "PBE-GGA",
  "state": "optimized geometry",
  "lattice": [[5.0669, 0.0000, 0.0000], [2.5334, 4.3880, 0.0000], [2.5334, 1.4627, 4.1371]],
  "species": ["Zn", "Pb", "Cd", "Mg"],
  "fractional_positions": [[0.7500, 0.7500, 0.7500], [0.5000, 0.5000, 0.5000], [0.0000, 0.0000, 0.0000], [0.2500, 0.2500, 0.2500]],
  "ef_ev_per_atom": 0.0799,
  "sg": "No. 216",
  "magnetic_moment_mub_per_cell": 0.00,
  "density_g_cm3": 7.4
}



Entry 7:
{
  "formula": "CeNpCo",
  "functional": "PBE-GGA",
  "state": "optimized geometry",
  "lattice": [[-1.8687, 1.6757, -2.3387], [0.6974, -2.4417, -2.3068], [-3.4170, -2.1005, 3.7415]],
  "species": ["Ce", "Co", "Np"],
  "fractional_positions": [[0.9932, 0.9932, 0.9865], [0.3207, 0.3207, 0.6414], [0.6861, 0.6861, 0.3721]],
  "ef_ev_per_atom": 0.1394,
  "sg": "No. 107",
  "magnetic_moment_mub_per_cell": 3.53,
  "density_g_cm3": 12.5
}



Entry 8:
{
  "formula": "CsLi2C2O6",
  "functional": "PBE-GGA",
  "state": "optimized geometry",
  "lattice": [[-1.7959, 1.8660, -4.5699], [0.7556, -4.7751, -5.3811], [-4.8236, -0.1275, 2.0710]],
  "species": ["C", "C", "O", "O", "O", "O", "O", "O", "Cs", "Li", "Li"],
  "fractional_positions": [[0.2249, 0.6858, 0.7743], [0.7751, 0.3142, 0.2257], [0.1332, 0.7254, 0.5610], [0.8933, 0.3941, 0.1085], [0.1067, 0.6059, 0.8915], [0.5635, 0.2736, 0.1309], [0.8668, 0.2746, 0.4390], [0.4365, 0.7264, 0.8691], [0.5000, 0.0000, 0.5000], [0.8057, 0.5002, 0.8071], [0.1943, 0.4998, 0.1929]],
  "sg": "No. 2",
  "e_form_raw_ev_per_atom": -1.687,
  "magnetic_moment_mub_per_cell": 1.01,
  "density_g_cm3": 2.6
}



Entry 9:
{
  "formula": "Cd2NiBr",
  "functional": "PBE-GGA",
  "state": "optimized geometry",
  "lattice": [[-1.5585, 2.0980, 6.4262], [1.5585, -2.0980, 6.4262], [1.5585, 2.0980, -6.4262]],
  "species": ["Cd", "Cd", "Ni", "Br"],
  "fractional_positions": [[0.8125, 0.8125, 0.0000], [0.1875, 0.1875, 0.0000], [0.0000, 0.5000, 0.5000], [0.5000, 0.0000, 0.5000]],
  "sg": "No. 71",
  "e_form_raw_ev_per_atom": 0.131,
  "magnetic_moment_mub_per_cell": 0.00,
  "density_g_cm3": 7.2
}



Entry 10:
{
  "formula": "CaPr2S4",
  "functional": "PBE-GGA",
  "state": "optimized geometry",
  "lattice": [[-4.1522, 6.2189, -2.3265], [-1.2087, -3.2487, -6.5269], [-5.2036, -4.6165, 3.2615]],
  "species": ["S", "S", "S", "S", "S", "S", "S", "S", "Pr", "Pr", "Pr", "Pr", "Ca", "Ca"],
  "fractional_positions": [[0.5328, 0.0166, 0.7549], [0.0735, 0.2500, 0.1408], [0.4672, 0.5166, 0.2451], [0.5328, 0.4834, 0.7549], [0.9162, 0.7500, 0.3475], [0.0838, 0.2500, 0.6525], [0.9265, 0.7500, 0.8592], [0.4672, 0.9834, 0.2451], [0.3308, 0.2500, 0.4602], [0.3464, 0.2500, 0.9619], [0.6692, 0.7500, 0.5398], [0.6536, 0.7500, 0.0381], [0.1642, 0.7500, 0.1693], [0.8358, 0.2500, 0.8307]],
  "sg": "No. 11",
  "e_form_raw_ev_per_atom": -1.853,
  "magnetic_moment_mub_per_cell": 0.00,
  "density_g_cm3": 3.5
}



Entry 11:
{
  "formula": "Ga3OF",
  "functional": "PBE-GGA",
  "state": "optimized geometry",
  "lattice": [[4.6055, 0.0000, 0.0000], [0.0000, 4.6055, 0.0000], [0.0000, 0.0000, 4.6055]],
  "species": ["Ga", "Ga", "Ga", "O", "F"],
  "fractional_positions": [[0.0000, 0.5000, 0.0000], [0.5000, 0.0000, 0.0000], [0.0000, 0.0000, 0.5000], [0.0000, 0.0000, 0.0000], [0.5000, 0.5000, 0.5000]],
  "sg": "No. 221",
  "e_form_raw_ev_per_atom": -0.455,
  "magnetic_moment_mub_per_cell": 0.00,
  "density_g_cm3": 4.2
}



Entry 12:
{
  "formula": "Rb3Zr3TiS8",
  "functional": "PBE-GGA",
  "state": "optimized geometry",
  "lattice": [[-1.1041, -7.1023, 1.7247], [2.2191, 1.8522, -6.8044], [6.4486, 0.5175, 6.2596]],
  "species": ["S", "S", "S", "S", "S", "S", "S", "S", "Rb", "Rb", "Rb", "Zr", "Zr", "Zr", "Ti"],
  "fractional_positions": [[0.2244, 0.4488, 0.6842], [0.7757, 0.0398, 0.3156], [0.7307, 0.4615, 0.6920], [0.2643, 0.0399, 0.3157], [0.7357, 0.9601, 0.6843], [0.2693, 0.5385, 0.3080], [0.7756, 0.5512, 0.3158], [0.2243, 0.9602, 0.6844], [0.5000, 0.5000, 0.0000], [0.0000, 0.0000, 0.0000], [0.0000, 0.5000, 0.0000], [0.5000, 0.0000, 0.5000], [0.5000, 0.5000, 0.5000], [0.0000, 0.5000, 0.5000], [0.0000, 0.0000, 0.5000]],
  "sg": "No. 166",
  "e_form_raw_ev_per_atom": -1.481,
  "magnetic_moment_mub_per_cell": 0.86,
  "density_g_cm3": 3.7
}